# LaMnCo2 | Alexandria via LeMat-Bulk | GGA-PBEsol | relaxed
data_LaMnCo2
_chemical_formula_sum 'La3 Mn3 Co6'
_cell_length_a 3.9963
_cell_length_b 3.9963
_cell_length_c 14.6769
_cell_angle_alpha 90.00
_cell_angle_beta 90.00
_cell_angle_gamma 120.00
_symmetry_space_group_name_H-M 'R -3 m'
_symmetry_Int_Tables_number 166
_symmetry_space_group_name_Hall '-R 3 2"'
loop_
_atom_site_label
_atom_site_type_symbol
_atom_site_fract_x
_atom_site_fract_y
_atom_site_fract_z
La1 La 0.0000 0.0000 0.0000
Mn1 Mn 0.0000 0.0000 0.5000
Co1 Co 0.0000 0.0000 0.1926
# Calculated volume in Å³/cell: 203
# Crystal system: trigonal
# DFT total energy in Ry/atom: -0.557